# 1
{"formula": "TbBNO", "functional": "PBE", "state": "relaxed", "density_g_cm3": 7.77, "spacegroup": "Pmc2_1", "de_polymorph_ev_per_fu": 1.35, "magnetic_moment_mub_per_fu": 0.0, "lattice": [[2.791, 0.000, 0.000], [0.000, 5.435, 0.000], [0.000, 0.000, 5.627]], "species": ["Tb", "Tb", "B", "B", "N", "N", "O", "O"], "fractional_positions": [[0.000, 0.219, 0.000], [0.000, 0.781, 0.500], [0.500, 0.295, 0.488], [0.500, 0.705, 0.988], [0.000, 0.361, 0.395], [0.000, 0.639, 0.895], [0.500, 0.108, 0.671], [0.500, 0.892, 0.171]]}



# 2
{"formula": "TbBNO", "functional": "PBE", "state": "relaxed", "density_g_cm3": 7.74, "spacegroup": "Pca2_1", "de_polymorph_ev_per_fu": 0.00, "magnetic_moment_mub_per_fu": 0.0, "lattice": [[4.945, 0.000, 0.000], [0.000, 7.649, 0.000], [0.000, 0.000, 4.530]], "species": ["Tb", "Tb", "Tb", "Tb", "B", "B", "B", "B", "N", "N", "N", "N", "O", "O", "O", "O"], "fractional_positions": [[0.000, 0.178, 0.000], [0.000, 0.822, 0.500], [0.500, 0.178, 0.500], [0.500, 0.822, 0.000], [0.128, 0.496, 0.258], [0.372, 0.496, 0.758], [0.628, 0.504, 0.258], [0.872, 0.504, 0.758], [0.120, 0.498, 0.931], [0.380, 0.498, 0.431], [0.620, 0.502, 0.931], [0.880, 0.502, 0.431], [0.003, 0.876, 0.001], [0.497, 0.876, 0.501], [0.503, 0.124, 0.001], [0.997, 0.124, 0.501]]}



# 3
{"formula": "TbBNO", "functional": "PBE", "state": "relaxed", "density_g_cm3": 7.27, "spacegroup": "P4/nmm", "de_polymorph_ev_per_fu": 3.49, "magnetic_moment_mub_per_fu": 0.0, "lattice": [[3.602, 0.000, 0.000], [0.000, 3.602, 0.000], [0.000, 0.000, 7.033]], "species": ["Tb", "Tb", "B", "B", "N", "N", "O", "O"], "fractional_positions": [[0.250, 0.250, 0.175], [0.750, 0.750, 0.825], [0.250, 0.750, 0.500], [0.750, 0.250, 0.500], [0.250, 0.250, 0.519], [0.750, 0.750, 0.481], [0.250, 0.750, 0.000], [0.750, 0.250, 0.000]]}



# 4
{"formula": "TbBNO", "functional": "PBE", "state": "relaxed", "density_g_cm3": 7.68, "spacegroup": "Pmc2_1", "de_polymorph_ev_per_fu": 2.03, "magnetic_moment_mub_per_fu": 0.0, "lattice": [[3.375, 0.000, 0.000], [0.000, 5.232, 0.000], [0.000, 0.000, 4.892]], "species": ["Tb", "Tb", "B", "B", "N", "N", "O", "O"], "fractional_positions": [[0.000, 0.235, 0.000], [0.000, 0.765, 0.500], [0.500, 0.347, 0.496], [0.500, 0.653, 0.996], [0.500, 0.495, 0.749], [0.500, 0.505, 0.249], [0.000, 0.192, 0.496], [0.000, 0.808, 0.996]]}



# 5
{"formula": "TmBNO", "functional": "PBE", "state": "relaxed", "density_g_cm3": 8.72, "spacegroup": "Pmc2_1", "de_polymorph_ev_per_fu": 1.16, "magnetic_moment_mub_per_fu": 0.0, "lattice": [[2.784, 0.000, 0.000], [0.000, 4.958, 0.000], [0.000, 0.000, 5.787]], "species": ["Tm", "Tm", "B", "B", "N", "N", "O", "O"], "fractional_positions": [[0.000, 0.196, 0.000], [0.000, 0.804, 0.500], [0.500, 0.313, 0.489], [0.500, 0.687, 0.989], [0.000, 0.350, 0.384], [0.000, 0.650, 0.884], [0.500, 0.128, 0.687], [0.500, 0.872, 0.187]]}



# 6
{"formula": "TmBNO", "functional": "PBE", "state": "relaxed", "density_g_cm3": 8.03, "spacegroup": "P4/nmm", "de_polymorph_ev_per_fu": 3.19, "magnetic_moment_mub_per_fu": 0.0, "lattice": [[3.571, 0.000, 0.000], [0.000, 3.571, 0.000], [0.000, 0.000, 6.805]], "species": ["Tm", "Tm", "B", "B", "N", "N", "O", "O"], "fractional_positions": [[0.250, 0.250, 0.172], [0.750, 0.750, 0.828], [0.250, 0.750, 0.500], [0.750, 0.250, 0.500], [0.250, 0.250, 0.517], [0.750, 0.750, 0.483], [0.250, 0.750, 0.000], [0.750, 0.250, 0.000]]}



# 7
{"formula": "TmBNO", "functional": "PBE", "state": "relaxed", "density_g_cm3": 7.72, "spacegroup": "Pca2_1", "de_polymorph_ev_per_fu": 1.48, "magnetic_moment_mub_per_fu": 0.0, "lattice": [[5.033, 0.000, 0.000], [0.000, 7.163, 0.000], [0.000, 0.000, 5.006]], "species": ["Tm", "Tm", "Tm", "Tm", "B", "B", "B", "B", "N", "N", "N", "N", "O", "O", "O", "O"], "fractional_positions": [[0.005, 0.150, 0.000], [0.495, 0.150, 0.500], [0.505, 0.850, 0.000], [0.995, 0.850, 0.500], [0.016, 0.627, 0.000], [0.484, 0.627, 0.500], [0.516, 0.373, 0.000], [0.984, 0.373, 0.500], [0.007, 0.818, 0.999], [0.493, 0.818, 0.499], [0.507, 0.182, 0.999], [0.993, 0.182, 0.499], [0.049, 0.451, 0.002], [0.451, 0.451, 0.502], [0.549, 0.549, 0.002], [0.951, 0.549, 0.502]]}



# 8
{"formula": "TmBNO", "functional": "PBE", "state": "relaxed", "density_g_cm3": 8.48, "spacegroup": "Pca2_1", "de_polymorph_ev_per_fu": 0.00, "magnetic_moment_mub_per_fu": 0.0, "lattice": [[4.927, 0.000, 0.000], [0.000, 7.453, 0.000], [0.000, 0.000, 4.477]], "species": ["Tm", "Tm", "Tm", "Tm", "B", "B", "B", "B", "N", "N", "N", "N", "O", "O", "O", "O"], "fractional_positions": [[0.003, 0.176, 0.000], [0.497, 0.176, 0.500], [0.503, 0.824, 0.000], [0.997, 0.824, 0.500], [0.128, 0.508, 0.756], [0.372, 0.508, 0.256], [0.628, 0.492, 0.756], [0.872, 0.492, 0.256], [0.119, 0.506, 0.428], [0.381, 0.506, 0.928], [0.619, 0.494, 0.428], [0.881, 0.494, 0.928], [0.015, 0.125, 0.501], [0.485, 0.125, 0.001], [0.515, 0.875, 0.501], [0.985, 0.875, 0.001]]}



# 9
{"formula": "TmBNO", "functional": "PBE", "state": "relaxed", "density_g_cm3": 8.24, "spacegroup": "Pmc2_1", "de_polymorph_ev_per_fu": 1.94, "magnetic_moment_mub_per_fu": 0.0, "lattice": [[3.466, 0.000, 0.000], [0.000, 5.166, 0.000], [0.000, 0.000, 4.724]], "species": ["Tm", "Tm", "B", "B", "N", "N", "O", "O"], "fractional_positions": [[0.000, 0.234, 0.000], [0.000, 0.766, 0.500], [0.500, 0.345, 0.466], [0.500, 0.655, 0.966], [0.500, 0.446, 0.756], [0.500, 0.554, 0.256], [0.000, 0.186, 0.466], [0.000, 0.814, 0.966]]}



# 10
{"formula": "TmBNO", "functional": "PBE", "state": "relaxed", "density_g_cm3": 7.42, "spacegroup": "P4/nmm", "de_polymorph_ev_per_fu": 3.68, "magnetic_moment_mub_per_fu": 0.2, "lattice": [[4.624, 0.000, 0.000], [0.000, 4.624, 0.000], [0.000, 0.000, 4.390]], "species": ["Tm", "Tm", "B", "B", "N", "N", "O", "O"], "fractional_positions": [[0.250, 0.750, 0.000], [0.750, 0.250, 0.000], [0.250, 0.250, 0.410], [0.750, 0.750, 0.590], [0.250, 0.250, 0.097], [0.750, 0.750, 0.903], [0.250, 0.750, 0.500], [0.750, 0.250, 0.500]]}



# 11
{"formula": "ZrBNO", "functional": "PBE", "state": "relaxed", "density_g_cm3": 5.25, "spacegroup": "Pmc2_1", "de_polymorph_ev_per_fu": 1.14, "magnetic_moment_mub_per_fu": 0.0, "lattice": [[2.802, 0.000, 0.000], [0.000, 5.684, 0.000], [0.000, 0.000, 5.245]], "species": ["Zr", "Zr", "B", "B", "N", "N", "O", "O"], "fractional_positions": [[0.000, 0.210, 0.000], [0.000, 0.790, 0.500], [0.500, 0.281, 0.387], [0.500, 0.719, 0.887], [0.000, 0.167, 0.436], [0.000, 0.833, 0.936], [0.500, 0.472, 0.859], [0.500, 0.528, 0.359]]}



# 12
{"formula": "ZrBNO", "functional": "PBE", "state": "relaxed", "density_g_cm3": 5.65, "spacegroup": "Pca2_1", "de_polymorph_ev_per_fu": 0.00, "magnetic_moment_mub_per_fu": 0.0, "lattice": [[4.569, 0.000, 0.000], [0.000, 7.844, 0.000], [0.000, 0.000, 4.332]], "species": ["Zr", "Zr", "Zr", "Zr", "B", "B", "B", "B", "N", "N", "N", "N", "O", "O", "O", "O"], "fractional_positions": [[0.001, 0.155, 0.000], [0.499, 0.155, 0.500], [0.501, 0.845, 0.000], [0.999, 0.845, 0.500], [0.100, 0.566, 0.921], [0.400, 0.566, 0.421], [0.600, 0.434, 0.921], [0.900, 0.434, 0.421], [0.099, 0.563, 0.567], [0.401, 0.563, 0.067], [0.599, 0.437, 0.567], [0.901, 0.437, 0.067], [0.006, 0.238, 0.501], [0.494, 0.238, 0.001], [0.506, 0.762, 0.501], [0.994, 0.762, 0.001]]}



# 13
{"formula": "ZrBNO", "functional": "PBE", "state": "relaxed", "density_g_cm3": 5.25, "spacegroup": "P4/nmm", "de_polymorph_ev_per_fu": 3.48, "magnetic_moment_mub_per_fu": 0.0, "lattice": [[4.395, 0.000, 0.000], [0.000, 4.395, 0.000], [0.000, 0.000, 4.328]], "species": ["Zr", "Zr", "B", "B", "N", "N", "O", "O"], "fractional_positions": [[0.250, 0.750, 0.000], [0.750, 0.250, 0.000], [0.250, 0.250, 0.480], [0.750, 0.750, 0.520], [0.250, 0.250, 0.149], [0.750, 0.750, 0.851], [0.250, 0.750, 0.500], [0.750, 0.250, 0.500]]}



# 14
{"formula": "ZrBNO", "functional": "PBE", "state": "relaxed", "density_g_cm3": 5.44, "spacegroup": "Pmc2_1", "de_polymorph_ev_per_fu": 1.75, "magnetic_moment_mub_per_fu": 0.0, "lattice": [[2.881, 0.000, 0.000], [0.000, 6.087, 0.000], [0.000, 0.000, 4.593]], "species": ["Zr", "Zr", "B", "B", "N", "N", "O", "O"], "fractional_positions": [[0.000, 0.148, 0.000], [0.000, 0.852, 0.500], [0.500, 0.395, 0.556], [0.500, 0.605, 0.056], [0.500, 0.411, 0.875], [0.500, 0.589, 0.375], [0.000, 0.241, 0.478], [0.000, 0.759, 0.978]]}



# 15
{"formula": "ZrBNO", "functional": "PBE", "state": "relaxed", "density_g_cm3": 5.50, "spacegroup": "P4/nmm", "de_polymorph_ev_per_fu": 3.05, "magnetic_moment_mub_per_fu": 0.0, "lattice": [[3.537, 0.000, 0.000], [0.000, 3.537, 0.000], [0.000, 0.000, 6.375]], "species": ["Zr", "Zr", "B", "B", "N", "N", "O", "O"], "fractional_positions": [[0.250, 0.250, 0.195], [0.750, 0.750, 0.805], [0.250, 0.750, 0.500], [0.750, 0.250, 0.500], [0.250, 0.250, 0.531], [0.750, 0.750, 0.469], [0.250, 0.750, 0.000], [0.750, 0.250, 0.000]]}



# 16
{"formula": "ZrBNO", "functional": "PBE", "state": "relaxed", "density_g_cm3": 5.60, "spacegroup": "Pbcm", "de_polymorph_ev_per_fu": 0.74, "magnetic_moment_mub_per_fu": 0.1, "lattice": [[7.233, 0.000, 0.000], [0.000, 4.520, 0.000], [0.000, 0.000, 4.790]], "species": ["Zr", "Zr", "Zr", "Zr", "B", "B", "B", "B", "N", "N", "N", "N", "O", "O", "O", "O"], "fractional_positions": [[0.133, 0.001, 0.250], [0.133, 0.499, 0.750], [0.867, 0.501, 0.250], [0.867, 0.999, 0.750], [0.399, 0.567, 0.250], [0.399, 0.933, 0.750], [0.601, 0.067, 0.250], [0.601, 0.433, 0.750], [0.209, 0.004, 0.750], [0.209, 0.496, 0.250], [0.791, 0.504, 0.750], [0.791, 0.996, 0.250], [0.446, 0.621, 0.750], [0.446, 0.879, 0.250], [0.554, 0.121, 0.750], [0.554, 0.379, 0.250]]}



# 17
{"formula": "TbSmB2Pd2N2", "functional": "PBE", "state": "relaxed", "density_g_cm3": 8.89, "spacegroup": "P4mm", "magnetic_moment_mub_per_fu": 0.0, "lattice": [[3.730, 0.000, 0.000], [0.000, 3.730, 0.000], [0.000, 0.000, 7.676]], "species": ["Tb", "Sm", "B", "B", "Pd", "Pd", "N", "N"], "fractional_positions": [[0.000, 0.000, 0.000], [0.500, 0.500, 0.325], [0.000, 0.000, 0.489], [0.500, 0.500, 0.833], [0.000, 0.500, 0.663], [0.500, 0.000, 0.663], [0.000, 0.000, 0.303], [0.500, 0.500, 0.018]]}



# 18
{"formula": "SmYB2Pd2N2", "functional": "PBE", "state": "relaxed", "density_g_cm3": 7.80, "spacegroup": "P4mm", "magnetic_moment_mub_per_fu": 0.0, "lattice": [[3.735, 0.000, 0.000], [0.000, 3.735, 0.000], [0.000, 0.000, 7.656]], "species": ["Sm", "Y", "B", "B", "Pd", "Pd", "N", "N"], "fractional_positions": [[0.000, 0.000, 0.000], [0.500, 0.500, 0.673], [0.000, 0.000, 0.506], [0.500, 0.500, 0.163], [0.000, 0.500, 0.337], [0.500, 0.000, 0.337], [0.000, 0.000, 0.692], [0.500, 0.500, 0.976]]}



# 19
{"formula": "TbTmB2Pd2N2", "functional": "PBE", "state": "relaxed", "density_g_cm3": 9.48, "spacegroup": "P4mm", "magnetic_moment_mub_per_fu": 0.0, "lattice": [[3.688, 0.000, 0.000], [0.000, 3.688, 0.000], [0.000, 0.000, 7.603]], "species": ["Tb", "Tm", "B", "B", "Pd", "Pd", "N", "N"], "fractional_positions": [[0.000, 0.000, 0.000], [0.500, 0.500, 0.324], [0.000, 0.000, 0.489], [0.500, 0.500, 0.839], [0.000, 0.500, 0.661], [0.500, 0.000, 0.661], [0.000, 0.000, 0.301], [0.500, 0.500, 0.028]]}



# 20
{"formula": "Tb2YB2Pd2N3", "functional": "PBE", "state": "relaxed", "density_g_cm3": 8.39, "spacegroup": "I4/mmm", "magnetic_moment_mub_per_fu": 0.0, "lattice": [[-1.825, 1.825, 10.150], [1.825, -1.825, 10.150], [1.825, 1.825, -10.150]], "species": ["Tb", "Tb", "Y", "B", "B", "Pd", "Pd", "N", "N", "N"], "fractional_positions": [[0.119, 0.119, 0.000], [0.881, 0.881, 0.000], [0.500, 0.500, 0.000], [0.315, 0.315, 0.000], [0.685, 0.685, 0.000], [0.250, 0.750, 0.500], [0.750, 0.250, 0.500], [0.000, 0.000, 0.000], [0.386, 0.386, 0.000], [0.614, 0.614, 0.000]]}



# 21
{"formula": "TbYB2Pd2N2", "functional": "PBE", "state": "relaxed", "density_g_cm3": 8.08, "spacegroup": "P4mm", "magnetic_moment_mub_per_fu": 0.0, "lattice": [[3.707, 0.000, 0.000], [0.000, 3.707, 0.000], [0.000, 0.000, 7.633]], "species": ["Tb", "Y", "B", "B", "Pd", "Pd", "N", "N"], "fractional_positions": [[0.000, 0.000, 0.000], [0.500, 0.500, 0.324], [0.000, 0.000, 0.489], [0.500, 0.500, 0.836], [0.000, 0.500, 0.662], [0.500, 0.000, 0.662], [0.000, 0.000, 0.302], [0.500, 0.500, 0.023]]}



# 22
{"formula": "YTmB2Pd2N2", "functional": "PBE", "state": "relaxed", "density_g_cm3": 8.37, "spacegroup": "P4mm", "magnetic_moment_mub_per_fu": 0.0, "lattice": [[3.687, 0.000, 0.000], [0.000, 3.687, 0.000], [0.000, 0.000, 7.589]], "species": ["Y", "Tm", "B", "B", "Pd", "Pd", "N", "N"], "fractional_positions": [[0.000, 0.000, 0.000], [0.500, 0.500, 0.676], [0.000, 0.000, 0.512], [0.500, 0.500, 0.161], [0.000, 0.500, 0.339], [0.500, 0.000, 0.339], [0.000, 0.000, 0.700], [0.500, 0.500, 0.973]]}



| no. | raw total energy (eV per atom) |
| --- | --- |
| 1 | -7.749 |
| 2 | -8.087 |
| 3 | -7.215 |
| 4 | -7.579 |
| 5 | -7.761 |
| 6 | -7.253 |
| 7 | -7.682 |
| 8 | -8.052 |
| 9 | -7.567 |
| 10 | -7.133 |
| 11 | -8.526 |
| 12 | -8.812 |
| 13 | -7.943 |
| 14 | -8.374 |
| 15 | -8.050 |
| 16 | -8.627 |
| 17 | -7.250 |
| 18 | -7.476 |
| 19 | -7.232 |
| 20 | -7.604 |
| 21 | -7.481 |
| 22 | -7.458 |